(1)
CeHo2Ag: optimized geometry, GGA-PBE.

Computed properties:
- Total moment: 0.5 μB per formula unit
- Density: 8.8 Mg/m³
- E_form: 0.0 eV/f.u.
- Excess energy over the best structure of this formula in the dataset: 10.4 kJ per mole of atoms
- N(E_F): 1.5538 states/eV/atom
- Space group: R-3m (166)

Unit cell a=3.464 b=3.464 c=10.655 alpha=80.64 beta=80.64 gamma=60.00
Element x y z (fractional)
Ag: 0.000 0.000 0.000
Ho: 0.257 0.257 0.228
Ho: 0.743 0.743 0.772
Ce: 0.500 0.500 0.500

(2)
CeHo2Ag: optimized geometry, GGA-PBE.

Computed properties:
- Total moment: 0.5 μB per formula unit
- Density: 9.0 Mg/m³
- E_form: -0.4 eV/f.u.
- Excess energy over the best structure of this formula in the dataset: 0.0 kJ per mole of atoms
- N(E_F): 1.7410 states/eV/atom
- Space group: P4/mmm (123)

Unit cell a=3.596 b=3.596 c=8.278 alpha=90.00 beta=90.00 gamma=90.00
Element x y z (fractional)
Ag: 0.500 0.500 0.000
Ho: 0.000 0.000 0.782
Ho: 0.000 0.000 0.218
Ce: 0.500 0.500 0.500

(3)
CeHo2Ag: optimized geometry, GGA-PBE.

Computed properties:
- Total moment: 3.0 μB per formula unit
- Density: 9.2 Mg/m³
- E_form: 0.5 eV/f.u.
- Excess energy over the best structure of this formula in the dataset: 22.1 kJ per mole of atoms
- N(E_F): 2.1010 states/eV/atom
- Space group: Fm-3m (225)

Unit cell a=5.287 b=5.287 c=5.287 alpha=60.00 beta=60.00 gamma=60.00
Element x y z (fractional)
Ag: 0.500 0.500 0.500
Ho: 0.250 0.250 0.250
Ho: 0.750 0.750 0.750
Ce: 0.000 0.000 0.000

(4)
CeHo2Ag: optimized geometry, GGA-PBE.

Computed properties:
- Total moment: 1.0 μB per formula unit
- Density: 8.7 Mg/m³
- E_form: 0.1 eV/f.u.
- Excess energy over the best structure of this formula in the dataset: 12.7 kJ per mole of atoms
- N(E_F): 1.6697 states/eV/atom
- Space group: R3m (160)

Unit cell a=3.477 b=3.477 c=10.773 alpha=80.72 beta=80.72 gamma=59.97
Element x y z (fractional)
Ce: 0.500 0.500 0.500
Ho: 0.074 0.074 0.775
Ho: 0.259 0.259 0.224
Ag: 0.667 0.667 0.000

(5)
Ce2HoAg: optimized geometry, GGA-PBE.

Computed properties:
- Total moment: 1.7 μB per formula unit
- Density: 8.3 Mg/m³
- E_form: 0.2 eV/f.u.
- Excess energy over the best structure of this formula in the dataset: 0.0 kJ per mole of atoms
- N(E_F): 2.8892 states/eV/atom
- Space group: P4/mmm (123)

Unit cell a=3.364 b=3.364 c=9.731 alpha=90.00 beta=90.00 gamma=90.00
Element x y z (fractional)
Ag: 0.500 0.500 0.000
Ho: 0.500 0.500 0.500
Ce: 0.000 0.000 0.773
Ce: 0.000 0.000 0.227

(6)
CeHoAg4: optimized geometry, GGA-PBE.

Computed properties:
- Total moment: 1.0 μB per formula unit
- Density: 9.1 Mg/m³
- E_form: -1.1 eV/f.u.
- Excess energy over the best structure of this formula in the dataset: 0.0 kJ per mole of atoms
- N(E_F): 1.5144 states/eV/atom
- Space group: C2/m (12)

Unit cell a=3.667 b=5.412 c=7.747 alpha=100.70 beta=76.31 gamma=70.20
Element x y z (fractional)
Ce: 0.000 0.000 0.000
Ho: 0.500 0.500 0.500
Ag: 0.847 0.482 0.823
Ag: 0.327 0.000 0.345
Ag: 0.153 0.518 0.177
Ag: 0.673 0.000 0.655